Compound: Rb2BaZn
Source: the Alexandria database
Functional: PBE
Structure: relaxed

Results
DFT formation energy = 0.212 eV per atom
electronic total energy = -1.071 eV per atom

Unit cell a=9.178 b=9.178 c=9.178 alpha=98.37 beta=98.37 gamma=135.13
Sites, in units of the cell vectors:
Rb 0.027 0.625 0.902
Rb 0.375 0.277 0.402
Rb 0.723 0.125 0.098
Rb 0.875 0.973 0.598
Ba 0.250 0.750 0.500
Ba 0.500 0.500 0.000
Zn 0.000 0.000 0.000
Zn 0.750 0.250 0.500